The following is a GGA-PBE calculation of an optimized crystal structure of Tb3Hg4Pd4, from Alexandria.

Computed properties:
D(E_F) = 6.35 states/eV/f.u.
Crystal system = orthorhombic
Spin magnetization = 0.000 μB/cell
Energy relative to the elements = -560 meV/atom

a b c (Å): 9.225 9.225 9.225
angles (deg): 156.33 129.18 56.80
Fractional coordinates of all 11 atoms:
Tb1 0.000 0.000 0.000
Tb2 0.387 0.887 0.500
Tb3 0.613 0.113 0.500
Hg1 0.028 0.340 0.689
Hg2 0.349 0.660 0.689
Hg3 0.651 0.340 0.311
Hg4 0.972 0.660 0.311
Pd1 0.251 0.251 0.000
Pd2 0.311 0.500 0.811
Pd3 0.689 0.500 0.189
Pd4 0.749 0.749 0.000